{
  "formula": "RbNbGa2Cl8",
  "functional": "PBE",
  "state": "relaxed",
  "lattice": [[-1.823, -2.398, -6.009], [6.881, -2.628, 0.229], [0.347, -8.018, 4.036]],
  "species": ["Cl", "Cl", "Cl", "Cl", "Ga", "Nb", "Cl", "Rb", "Cl", "Ga", "Cl", "Cl"],
  "frac_coords": [[0.131, 0.788, 0.898], [0.326, 0.086, 0.098], [0.061, 0.274, 0.749], [0.474, 0.264, 0.483], [0.512, 0.374, 0.729], [0.000, 0.000, 0.000], [0.674, 0.914, 0.902], [0.000, 0.000, 0.500], [0.939, 0.726, 0.251], [0.488, 0.626, 0.271], [0.869, 0.212, 0.102], [0.526, 0.736, 0.517]],
  "formation_energy_uncorrected_kj_per_mol_atoms": -115,
  "magmom_total_mub_per_fu": 0.00
}

---

{
  "formula": "NbGaSCl2",
  "functional": "PBE",
  "state": "relaxed",
  "lattice": [[-2.007, 2.049, 4.090], [-1.490, -4.515, 1.531], [4.181, -0.585, 2.344]],
  "species": ["Cl", "Cl", "Ga", "Nb", "S"],
  "frac_coords": [[0.500, 0.000, 0.000], [0.000, 0.500, 0.000], [0.500, 0.500, 0.500], [0.000, 0.000, 0.000], [0.000, 0.000, 0.500]],
  "formation_energy_uncorrected_kj_per_mol_atoms": -57,
  "magmom_total_mub_per_fu": 0.76,
  "de_polymorph_mev_per_atom": 0.0
}

---

{
  "formula": "NbGaSCl2",
  "functional": "PBE",
  "state": "relaxed",
  "lattice": [[4.776, 0.000, 0.000], [0.000, 4.776, 0.000], [0.000, 0.000, 4.860]],
  "species": ["Ga", "Cl", "Nb", "S", "Cl"],
  "frac_coords": [[0.000, 0.000, 0.000], [0.500, 0.000, 0.000], [0.500, 0.500, 0.500], [0.000, 0.000, 0.500], [0.000, 0.500, 0.000]],
  "formation_energy_uncorrected_kj_per_mol_atoms": 23,
  "magmom_total_mub_per_fu": 3.40,
  "de_polymorph_mev_per_atom": 827.3
}

---

{
  "formula": "NbGaWCl2",
  "functional": "PBE",
  "state": "relaxed",
  "lattice": [[-2.929, -0.174, -3.518], [4.124, -0.979, -3.384], [-0.527, -4.502, 0.661]],
  "species": ["Cl", "Ga", "Cl", "Nb", "W"],
  "frac_coords": [[0.000, 0.000, 0.500], [0.000, 0.500, 0.000], [0.500, 0.000, 0.000], [0.500, 0.500, 0.500], [0.000, 0.000, 0.000]],
  "formation_energy_uncorrected_kj_per_mol_atoms": 99,
  "magmom_total_mub_per_fu": 3.29
}

---

{
  "formula": "Nd2GaCl",
  "functional": "PBE",
  "state": "relaxed",
  "lattice": [[3.795, 0.000, 0.000], [1.898, 3.287, 0.000], [1.898, 1.096, 8.507]],
  "species": ["Nd", "Cl", "Nd", "Ga"],
  "frac_coords": [[0.253, 0.253, 0.242], [0.499, 0.499, 0.503], [0.081, 0.081, 0.756], [0.667, 0.667, 0.999]],
  "formation_energy_uncorrected_kj_per_mol_atoms": -94,
  "magmom_total_mub_per_fu": 0.00,
  "de_polymorph_mev_per_atom": 100.0
}

---

{
  "formula": "Nd4GaCl5",
  "functional": "PBE",
  "state": "relaxed",
  "lattice": [[4.122, 0.000, 0.000], [0.000, 8.428, -0.517], [-2.061, -1.728, 9.023]],
  "species": ["Nd", "Nd", "Nd", "Cl", "Cl", "Cl", "Ga", "Cl", "Cl", "Nd"],
  "frac_coords": [[0.658, 0.093, 0.315], [0.342, 0.907, 0.685], [0.000, 0.239, 0.001], [0.500, 0.500, 0.000], [0.834, 0.671, 0.667], [0.830, 0.143, 0.659], [0.500, 0.000, 0.000], [0.166, 0.329, 0.333], [0.170, 0.857, 0.341], [0.000, 0.761, 0.999]],
  "formation_energy_uncorrected_kj_per_mol_atoms": -160,
  "magmom_total_mub_per_fu": 0.00
}

---

Copy entry 2 word for word.
{
  "formula": "NbGaSCl2",
  "functional": "PBE",
  "state": "relaxed",
  "lattice": [[-2.007, 2.049, 4.090], [-1.490, -4.515, 1.531], [4.181, -0.585, 2.344]],
  "species": ["Cl", "Cl", "Ga", "Nb", "S"],
  "frac_coords": [[0.500, 0.000, 0.000], [0.000, 0.500, 0.000], [0.500, 0.500, 0.500], [0.000, 0.000, 0.000], [0.000, 0.000, 0.500]],
  "formation_energy_uncorrected_kj_per_mol_atoms": -57,
  "magmom_total_mub_per_fu": 0.76,
  "de_polymorph_mev_per_atom": 0.0
}